Compound: Na3Mg2H7
Source: Alexandria
Functional: PBE-GGA
Structure: optimized geometry

ρ (g/cm³): 1.4
SG: Cmmm
DOS(E_F) (states/eV/atom): 0.0000
Magnetization (μB/cell): 0.00
Total energy (eV/atom): -2.719

a = 10.4852 Å, b = 10.4852 Å, c = 3.6906 Å
α = 90.00°, β = 90.00°, γ = 158.94°
Fractional coordinates of all 12 atoms:
Na1 0.0000 0.0000 0.0000
Na2 0.1793 0.8207 0.0000
Na3 0.8207 0.1793 0.0000
Mg1 0.4049 0.5951 0.5000
Mg2 0.5951 0.4049 0.5000
H1 0.0932 0.9068 0.5000
H2 0.3089 0.6911 0.5000
H3 0.4065 0.5935 0.0000
H4 0.5000 0.5000 0.5000
H5 0.5935 0.4065 0.0000
H6 0.6911 0.3089 0.5000
H7 0.9068 0.0932 0.5000

=====

Compound: Tb3Mg2In3
Source: Alexandria
Functional: PBE-GGA
Structure: optimized geometry

ρ (g/cm³): 6.9
SG: P6_3/mcm
DOS(E_F) (states/eV/atom): 0.6486
Magnetization (μB/cell): 0.00
Total energy (eV/atom): -3.472

a = 8.9909 Å, b = 8.9909 Å, c = 6.0237 Å
α = 90.00°, β = 90.00°, γ = 120.00°
Fractional coordinates of all 16 atoms:
Tb1 0.0000 0.2388 0.2500
Tb2 0.0000 0.7612 0.7500
Tb3 0.2388 0.0000 0.2500
Tb4 0.2388 0.2388 0.7500
Tb5 0.7612 0.0000 0.7500
Tb6 0.7612 0.7612 0.2500
Mg1 0.3333 0.6667 0.0000
Mg2 0.3333 0.6667 0.5000
Mg3 0.6667 0.3333 0.0000
Mg4 0.6667 0.3333 0.5000
In1 0.0000 0.4037 0.7500
In2 0.0000 0.5963 0.2500
In3 0.4037 0.0000 0.7500
In4 0.4037 0.4037 0.2500
In5 0.5963 0.0000 0.2500
In6 0.5963 0.5963 0.7500